Version w
This record from Alexandria describes an optimized crystal structure of FeIr2Rh2. The functional is PBE-GGA.

Structure (CIF):
```
data_FeIr2Rh2
_chemical_formula_sum 'Fe1 Ir2 Rh2'
_cell_length_a 2.713
_cell_length_b 3.778
_cell_length_c 7.152
_cell_angle_alpha 105.32
_cell_angle_beta 100.93
_cell_angle_gamma 90.00
_space_group_name_H-M_alt 'P 1'
_space_group_IT_number 1
loop_
_space_group_symop_operation_xyz
'x,y,z'
loop_
_atom_site_label
_atom_site_type_symbol
_atom_site_fract_x
_atom_site_fract_y
_atom_site_fract_z
Fe1 Fe 0.500 0.500 0.000
Ir1 Ir 0.096 0.096 0.192
Ir2 Ir 0.904 0.904 0.808
Rh1 Rh 0.698 0.698 0.396
Rh2 Rh 0.302 0.302 0.604
```



Version x
This record from Alexandria describes an optimized crystal structure of FeIr2Rh2. The functional is PBE-GGA.

Structure (CIF):
```
data_FeIr2Rh2
_chemical_formula_sum 'Fe1 Ir2 Rh2'
_cell_length_a 4.730
_cell_length_b 4.730
_cell_length_c 5.100
_cell_angle_alpha 117.63
_cell_angle_beta 117.63
_cell_angle_gamma 90.00
_space_group_name_H-M_alt 'P 1'
_space_group_IT_number 1
loop_
_space_group_symop_operation_xyz
'x,y,z'
loop_
_atom_site_label
_atom_site_type_symbol
_atom_site_fract_x
_atom_site_fract_y
_atom_site_fract_z
Fe1 Fe 0.000 0.000 0.000
Ir1 Ir 0.250 0.750 0.500
Ir2 Ir 0.750 0.250 0.500
Rh1 Rh 0.653 0.653 0.307
Rh2 Rh 0.347 0.347 0.693
```



Stability, descending: version w, version x



Version w
This record from Alexandria describes an optimized crystal structure of FeIr2Ru. The functional is PBE-GGA.

Structure (CIF):
```
data_FeIr2Ru
_chemical_formula_sum 'Fe1 Ir2 Ru1'
_cell_length_a 3.776
_cell_length_b 2.710
_cell_length_c 6.025
_cell_angle_alpha 63.33
_cell_angle_beta 90.00
_cell_angle_gamma 90.00
_space_group_name_H-M_alt 'P 1'
_space_group_IT_number 1
loop_
_space_group_symop_operation_xyz
'x,y,z'
loop_
_atom_site_label
_atom_site_type_symbol
_atom_site_fract_x
_atom_site_fract_y
_atom_site_fract_z
Ru1 Ru 0.000 0.497 0.504
Ir1 Ir 0.000 0.010 0.989
Ir2 Ir 0.500 0.243 0.257
Fe1 Fe 0.500 0.750 0.750
```



Version x
This record from Alexandria describes an optimized crystal structure of FeIr2Ru. The functional is PBE-GGA.

Structure (CIF):
```
data_FeIr2Ru
_chemical_formula_sum 'Fe1 Ir2 Ru1'
_cell_length_a 4.668
_cell_length_b 4.668
_cell_length_c 4.671
_cell_angle_alpha 132.02
_cell_angle_beta 132.02
_cell_angle_gamma 70.19
_space_group_name_H-M_alt 'P 1'
_space_group_IT_number 1
loop_
_space_group_symop_operation_xyz
'x,y,z'
loop_
_atom_site_label
_atom_site_type_symbol
_atom_site_fract_x
_atom_site_fract_y
_atom_site_fract_z
Ru1 Ru 0.250 0.750 0.500
Ir1 Ir 0.000 0.000 0.000
Ir2 Ir 0.500 0.500 0.000
Fe1 Fe 0.750 0.250 0.500
```



Stability, descending: version x, version w



Version w
This record from Alexandria describes an optimized crystal structure of FeIr2Ru. The functional is PBE-GGA.

Structure (CIF):
```
data_FeIr2Ru
_chemical_formula_sum 'Fe1 Ir2 Ru1'
_cell_length_a 2.712
_cell_length_b 2.712
_cell_length_c 7.457
_cell_angle_alpha 90.00
_cell_angle_beta 90.00
_cell_angle_gamma 90.00
_space_group_name_H-M_alt 'P 1'
_space_group_IT_number 1
loop_
_space_group_symop_operation_xyz
'x,y,z'
loop_
_atom_site_label
_atom_site_type_symbol
_atom_site_fract_x
_atom_site_fract_y
_atom_site_fract_z
Fe1 Fe 0.500 0.500 0.750
Ir1 Ir 0.000 0.000 0.989
Ir2 Ir 0.500 0.500 0.254
Ru1 Ru 0.000 0.000 0.508
```



Version x
This record from Alexandria describes an optimized crystal structure of FeIr2Ru. The functional is PBE-GGA.

Structure (CIF):
```
data_FeIr2Ru
_chemical_formula_sum 'Fe1 Ir2 Ru1'
_cell_length_a 8.846
_cell_length_b 8.846
_cell_length_c 8.846
_cell_angle_alpha 17.66
_cell_angle_beta 17.66
_cell_angle_gamma 17.66
_space_group_name_H-M_alt 'P 1'
_space_group_IT_number 1
loop_
_space_group_symop_operation_xyz
'x,y,z'
loop_
_atom_site_label
_atom_site_type_symbol
_atom_site_fract_x
_atom_site_fract_y
_atom_site_fract_z
Fe1 Fe 0.750 0.750 0.750
Ir1 Ir 0.003 0.003 0.003
Ir2 Ir 0.249 0.249 0.249
Ru1 Ru 0.498 0.498 0.498
```



Version y
This record from Alexandria describes an optimized crystal structure of FeIr2Ru. The functional is PBE-GGA.

Structure (CIF):
```
data_FeIr2Ru
_chemical_formula_sum 'Fe1 Ir2 Ru1'
_cell_length_a 5.252
_cell_length_b 5.252
_cell_length_c 5.252
_cell_angle_alpha 149.36
_cell_angle_beta 129.65
_cell_angle_gamma 60.10
_space_group_name_H-M_alt 'P 1'
_space_group_IT_number 1
loop_
_space_group_symop_operation_xyz
'x,y,z'
loop_
_atom_site_label
_atom_site_type_symbol
_atom_site_fract_x
_atom_site_fract_y
_atom_site_fract_z
Fe1 Fe 0.250 0.750 0.500
Ir1 Ir 0.021 0.021 0.000
Ir2 Ir 0.479 0.479 0.000
Ru1 Ru 0.750 0.250 0.500
```



Stability, descending: version w, version x, version y



Version w
This record from Alexandria describes an optimized crystal structure of FeIr2Ru. The functional is PBE-GGA.

Structure (CIF):
```
data_FeIr2Ru
_chemical_formula_sum 'Fe1 Ir2 Ru1'
_cell_length_a 2.688
_cell_length_b 2.688
_cell_length_c 9.031
_cell_angle_alpha 90.00
_cell_angle_beta 90.00
_cell_angle_gamma 118.82
_space_group_name_H-M_alt 'P 1'
_space_group_IT_number 1
loop_
_space_group_symop_operation_xyz
'x,y,z'
loop_
_atom_site_label
_atom_site_type_symbol
_atom_site_fract_x
_atom_site_fract_y
_atom_site_fract_z
Fe1 Fe 0.500 0.500 0.750
Ir1 Ir 0.000 0.000 0.992
Ir2 Ir 0.000 0.000 0.508
Ru1 Ru 0.500 0.500 0.250
```



Version x
This record from Alexandria describes an optimized crystal structure of FeIr2Ru. The functional is PBE-GGA.

Structure (CIF):
```
data_FeIr2Ru
_chemical_formula_sum 'Fe1 Ir2 Ru1'
_cell_length_a 3.801
_cell_length_b 3.802
_cell_length_c 6.600
_cell_angle_alpha 73.26
_cell_angle_beta 73.25
_cell_angle_gamma 60.03
_space_group_name_H-M_alt 'P 1'
_space_group_IT_number 1
loop_
_space_group_symop_operation_xyz
'x,y,z'
loop_
_atom_site_label
_atom_site_type_symbol
_atom_site_fract_x
_atom_site_fract_y
_atom_site_fract_z
Fe1 Fe 0.240 0.685 0.178
Ir1 Ir 0.119 0.564 0.540
Ir2 Ir 0.609 0.054 0.072
Ru1 Ru 0.737 0.182 0.688
```



Version y
This record from Alexandria describes an optimized crystal structure of FeIr2Ru. The functional is PBE-GGA.

Structure (CIF):
```
data_FeIr2Ru
_chemical_formula_sum 'Fe1 Ir2 Ru1'
_cell_length_a 4.575
_cell_length_b 4.575
_cell_length_c 2.719
_cell_angle_alpha 90.00
_cell_angle_beta 90.00
_cell_angle_gamma 90.00
_space_group_name_H-M_alt 'P 1'
_space_group_IT_number 1
loop_
_space_group_symop_operation_xyz
'x,y,z'
loop_
_atom_site_label
_atom_site_type_symbol
_atom_site_fract_x
_atom_site_fract_y
_atom_site_fract_z
Fe1 Fe 0.000 0.500 0.500
Ir1 Ir 0.000 0.000 0.000
Ir2 Ir 0.500 0.500 0.000
Ru1 Ru 0.500 0.000 0.500
```



Stability, descending: version w, version y, version x



Version w
This record from Alexandria describes an optimized crystal structure of FeIr2Ru. The functional is PBE-GGA.

Structure (CIF):
```
data_FeIr2Ru
_chemical_formula_sum 'Fe1 Ir2 Ru1'
_cell_length_a 4.655
_cell_length_b 4.655
_cell_length_c 4.649
_cell_angle_alpha 79.85
_cell_angle_beta 79.85
_cell_angle_gamma 33.85
_space_group_name_H-M_alt 'P 1'
_space_group_IT_number 1
loop_
_space_group_symop_operation_xyz
'x,y,z'
loop_
_atom_site_label
_atom_site_type_symbol
_atom_site_fract_x
_atom_site_fract_y
_atom_site_fract_z
Ru1 Ru 0.499 0.499 0.501
Ir1 Ir 0.002 0.002 0.990
Ir2 Ir 0.250 0.250 0.257
Fe1 Fe 0.749 0.749 0.751
```



Version x
This record from Alexandria describes an optimized crystal structure of FeIr2Ru. The functional is PBE-GGA.

Structure (CIF):
```
data_FeIr2Ru
_chemical_formula_sum 'Fe2 Ir4 Ru2'
_cell_length_a 5.348
_cell_length_b 5.348
_cell_length_c 6.623
_cell_angle_alpha 66.19
_cell_angle_beta 66.19
_cell_angle_gamma 90.00
_space_group_name_H-M_alt 'P 1'
_space_group_IT_number 1
loop_
_space_group_symop_operation_xyz
'x,y,z'
loop_
_atom_site_label
_atom_site_type_symbol
_atom_site_fract_x
_atom_site_fract_y
_atom_site_fract_z
Ru1 Ru 0.000 0.000 0.000
Ru2 Ru 0.750 0.250 0.500
Ir1 Ir 0.604 0.125 0.250
Ir2 Ir 0.146 0.625 0.250
Ir3 Ir 0.375 0.396 0.750
Ir4 Ir 0.875 0.854 0.750
Fe1 Fe 0.500 0.500 0.000
Fe2 Fe 0.250 0.750 0.500
```



Stability, descending: version w, version x